1.
Below is a geometry-optimized LiPrEr2 structure, with properties calculated at the PBE-GGA level.

The calculation puts the excess energy over the best structure of this formula in the dataset at 12.6 kJ/mol of atoms. As for the formation energy: 214 meV/atom.

Structure (CIF):
```
data_LiPrEr2
_cell_length_a 3.4868
_cell_length_b 3.4868
_cell_length_c 36.4894
_cell_angle_alpha 90.00
_cell_angle_beta 90.00
_cell_angle_gamma 120.00
_space_group_name_H-M_alt 'R -3 m'
_space_group_IT_number 166
_space_group_name_Hall '-R 3 2"'
loop_
_atom_site_label
_atom_site_fract_x
_atom_site_fract_y
_atom_site_fract_z
Li1 0.0000 0.0000 0.0000
Pr1 0.0000 0.0000 0.5000
Er1 0.0000 0.0000 0.0877
```

***

2.
Below is a geometry-optimized ErHfAgPt structure, with properties calculated at the PBE-GGA level.

As for the formation energy: -583 meV/atom.

Structure (CIF):
```
data_ErHfAgPt
_cell_length_a 6.874
_cell_length_b 6.874
_cell_length_c 6.874
_cell_angle_alpha 90.00
_cell_angle_beta 90.00
_cell_angle_gamma 90.00
_space_group_name_H-M_alt 'F -4 3 m'
_space_group_IT_number 216
_space_group_name_Hall 'F -4 2 3'
loop_
_atom_site_label
_atom_site_fract_x
_atom_site_fract_y
_atom_site_fract_z
Er1 0.000 0.000 0.000
Hf1 0.000 0.000 0.500
Ag1 0.250 0.250 0.250
Pt1 0.250 0.250 0.750
```

***

3.
Below is a geometry-optimized TlHgH2 structure, with properties calculated at the PBE-GGA level.

The calculation puts the excess energy over the best structure of this formula in the dataset at 0.0 kJ/mol of atoms.

Structure (CIF):
```
data_TlHgH2
_cell_length_a 3.141
_cell_length_b 7.549
_cell_length_c 7.593
_cell_angle_alpha 106.61
_cell_angle_beta 100.91
_cell_angle_gamma 90.97
_space_group_name_H-M_alt 'P -1'
_space_group_IT_number 2
loop_
_space_group_symop_operation_xyz
'x,y,z'
'-x,-y,-z'
loop_
_atom_site_label
_atom_site_fract_x
_atom_site_fract_y
_atom_site_fract_z
Tl1 0.152 0.338 0.310
Hg1 0.500 0.000 0.000
Hg2 0.500 0.500 0.000
H1 0.166 0.894 0.326
H2 0.196 0.843 0.399
```

***

4.
Below is a geometry-optimized Tb2SnPd structure, with properties calculated at the PBE-GGA level.

As for the formation energy: -761 meV/atom.

Structure (CIF):
```
data_Tb2SnPd
_cell_length_a 3.566
_cell_length_b 3.566
_cell_length_c 7.687
_cell_angle_alpha 90.00
_cell_angle_beta 90.00
_cell_angle_gamma 90.00
_space_group_name_H-M_alt 'P 4/m m m'
_space_group_IT_number 123
_space_group_name_Hall '-P 4 2'
loop_
_atom_site_label
_atom_site_fract_x
_atom_site_fract_y
_atom_site_fract_z
Tb1 0.000 0.000 0.224
Sn1 0.500 0.500 0.500
Pd1 0.500 0.500 0.000
```

***

> Number 4 is which compound?

Tb2SnPd